Entry 1:
# Tm3Ir2Pt

Crystalline Tm3Ir2Pt at its relaxed geometry (PBE-GGA, Alexandria).

Lattice parameters (Å, degrees): 4.8841 14.6568 3.2983 90.00 90.00 90.00
Element x y z (fractional)
Tm  0.0000  0.0000  0.0000
Tm  0.0000  0.3313  0.0000
Tm  0.0000  0.6687  0.0000
Tm  0.5000  0.1687  0.0000
Tm  0.5000  0.5000  0.0000
Tm  0.5000  0.8313  0.0000
Ir  0.0000  0.1664  0.5000
Ir  0.0000  0.8336  0.5000
Ir  0.5000  0.3336  0.5000
Ir  0.5000  0.6664  0.5000
Pt  0.0000  0.5000  0.5000
Pt  0.5000  0.0000  0.5000

- V: 236.1 Å³/cell
- Total moment: 0.00 μB per cell
- ΔH_f (0 K): -1.04 eV per atom
- Calculated total energy: -86.83 eV for the cell shown
- DOS(E_F): 2.430 states/eV/f.u.
- Crystal system: orthorhombic
- Space group: Cmmm (65)

---

Entry 2:
# Tm8IrPt5

Crystalline Tm8IrPt5 at its relaxed geometry (PBE-GGA, Alexandria).

Lattice parameters (Å, degrees): 7.4354 7.4354 7.4354 109.52 109.52 109.37
Element x y z (fractional)
Tm  0.0033  0.6274  0.7526
Tm  0.2392  0.4876  0.1180
Tm  0.3696  0.1212  0.8820
Tm  0.3726  0.1252  0.3759
Tm  0.5124  0.6304  0.7516
Tm  0.7493  0.9967  0.6241
Tm  0.8748  0.2507  0.2474
Tm  0.8788  0.7608  0.2484
Ir  0.0000  0.0000  0.0000
Pt  0.1295  0.2535  0.6275
Pt  0.2500  0.7500  0.5000
Pt  0.4980  0.8705  0.1240
Pt  0.6260  0.5020  0.3725
Pt  0.7465  0.3740  0.8760

- V: 316.4 Å³/cell
- Total moment: 0.00 μB per cell
- ΔH_f (0 K): -1.12 eV per atom
- Calculated total energy: -90.51 eV for the cell shown
- DOS(E_F): 6.653 states/eV/f.u.
- Crystal system: tetragonal
- Space group: I-4 (82)

---

Entry 3:
# TmUIrPt

Crystalline TmUIrPt at its relaxed geometry (PBE-GGA, Alexandria).

Lattice parameters (Å, degrees): 6.8847 6.8847 6.8847 90.00 90.00 90.00
Element x y z (fractional)
Tm  0.0000  0.0000  0.0000
Tm  0.0000  0.5000  0.5000
Tm  0.5000  0.0000  0.5000
Tm  0.5000  0.5000  0.0000
U  0.0000  0.0000  0.5000
U  0.0000  0.5000  0.0000
U  0.5000  0.0000  0.0000
U  0.5000  0.5000  0.5000
Ir  0.2500  0.2500  0.2500
Ir  0.2500  0.7500  0.7500
Ir  0.7500  0.2500  0.7500
Ir  0.7500  0.7500  0.2500
Pt  0.2500  0.2500  0.7500
Pt  0.2500  0.7500  0.2500
Pt  0.7500  0.2500  0.2500
Pt  0.7500  0.7500  0.7500

- V: 326.3 Å³/cell
- Total moment: 9.61 μB per cell
- ΔH_f (0 K): -0.72 eV per atom
- Calculated total energy: -134.14 eV for the cell shown
- DOS(E_F): 4.673 states/eV/f.u.
- Crystal system: cubic
- Space group: F-43m (216)

---

Entry 4:
# YTmIrPt

Crystalline YTmIrPt at its relaxed geometry (PBE-GGA, Alexandria).

Lattice parameters (Å, degrees): 6.8816 6.8816 6.8816 90.00 90.00 90.00
Element x y z (fractional)
Y  0.0000  0.0000  0.0000
Y  0.0000  0.5000  0.5000
Y  0.5000  0.0000  0.5000
Y  0.5000  0.5000  0.0000
Tm  0.0000  0.0000  0.5000
Tm  0.0000  0.5000  0.0000
Tm  0.5000  0.0000  0.0000
Tm  0.5000  0.5000  0.5000
Ir  0.2500  0.2500  0.2500
Ir  0.2500  0.7500  0.7500
Ir  0.7500  0.2500  0.7500
Ir  0.7500  0.7500  0.2500
Pt  0.2500  0.2500  0.7500
Pt  0.2500  0.7500  0.2500
Pt  0.7500  0.2500  0.2500
Pt  0.7500  0.7500  0.7500

- V: 325.9 Å³/cell
- Total moment: 0.00 μB per cell
- ΔH_f (0 K): -1.04 eV per atom
- Calculated total energy: -120.03 eV for the cell shown
- DOS(E_F): 1.924 states/eV/f.u.
- Crystal system: cubic
- Space group: F-43m (216)

---

Entry 5:
# TmZnIrPt

Crystalline TmZnIrPt at its relaxed geometry (PBE-GGA, Alexandria).

Lattice parameters (Å, degrees): 6.4905 6.4905 6.4905 90.00 90.00 90.00
Element x y z (fractional)
Tm  0.0000  0.0000  0.0000
Tm  0.0000  0.5000  0.5000
Tm  0.5000  0.0000  0.5000
Tm  0.5000  0.5000  0.0000
Zn  0.0000  0.0000  0.5000
Zn  0.0000  0.5000  0.0000
Zn  0.5000  0.0000  0.0000
Zn  0.5000  0.5000  0.5000
Ir  0.2500  0.2500  0.2500
Ir  0.2500  0.7500  0.7500
Ir  0.7500  0.2500  0.7500
Ir  0.7500  0.7500  0.2500
Pt  0.2500  0.2500  0.7500
Pt  0.2500  0.7500  0.2500
Pt  0.7500  0.2500  0.2500
Pt  0.7500  0.7500  0.7500

- V: 273.4 Å³/cell
- Total moment: 0.00 μB per cell
- ΔH_f (0 K): -0.69 eV per atom
- Calculated total energy: -93.61 eV for the cell shown
- DOS(E_F): 1.322 states/eV/f.u.
- Crystal system: cubic
- Space group: F-43m (216)

---

Entry 6:
# TmZrIrPt

Crystalline TmZrIrPt at its relaxed geometry (PBE-GGA, Alexandria).

Lattice parameters (Å, degrees): 6.7506 6.7506 6.7506 90.00 90.00 90.00
Element x y z (fractional)
Tm  0.0000  0.0000  0.0000
Tm  0.0000  0.5000  0.5000
Tm  0.5000  0.0000  0.5000
Tm  0.5000  0.5000  0.0000
Zr  0.0000  0.0000  0.5000
Zr  0.0000  0.5000  0.0000
Zr  0.5000  0.0000  0.0000
Zr  0.5000  0.5000  0.5000
Ir  0.2500  0.2500  0.7500
Ir  0.2500  0.7500  0.2500
Ir  0.7500  0.2500  0.2500
Ir  0.7500  0.7500  0.7500
Pt  0.2500  0.2500  0.2500
Pt  0.2500  0.7500  0.7500
Pt  0.7500  0.2500  0.7500
Pt  0.7500  0.7500  0.2500

- V: 307.6 Å³/cell
- Total moment: 0.00 μB per cell
- ΔH_f (0 K): -0.94 eV per atom
- Calculated total energy: -126.76 eV for the cell shown
- DOS(E_F): 4.358 states/eV/f.u.
- Crystal system: cubic
- Space group: F-43m (216)

---

Entry 7:
# U2Ir3Pt3

Crystalline U2Ir3Pt3 at its relaxed geometry (PBE-GGA, Alexandria).

Lattice parameters (Å, degrees): 4.1016 4.1711 8.0378 90.00 90.00 90.00
Element x y z (fractional)
U  0.0000  0.0000  0.2455
U  0.0000  0.0000  0.7545
Ir  0.0000  0.5000  0.0000
Ir  0.5000  0.0000  0.0000
Ir  0.5000  0.0000  0.5000
Pt  0.0000  0.5000  0.5000
Pt  0.5000  0.5000  0.2488
Pt  0.5000  0.5000  0.7512

- V: 137.5 Å³/cell
- Total moment: 1.37 μB per cell
- ΔH_f (0 K): -0.65 eV per atom
- Calculated total energy: -72.50 eV for the cell shown
- DOS(E_F): 9.660 states/eV/f.u.
- Crystal system: orthorhombic
- Space group: Pmmm (47)

---

Entry 8:
# UIrPt3

Crystalline UIrPt3 at its relaxed geometry (PBE-GGA, Alexandria).

Lattice parameters (Å, degrees): 4.3991 7.0523 5.8293 90.00 90.00 90.00
Element x y z (fractional)
U  0.2500  0.2500  0.2391
U  0.7500  0.7500  0.7609
Ir  0.2500  0.7500  0.0159
Ir  0.7500  0.2500  0.9841
Pt  0.2500  0.0622  0.7531
Pt  0.2500  0.4378  0.7531
Pt  0.2500  0.7500  0.4685
Pt  0.7500  0.2500  0.5315
Pt  0.7500  0.5622  0.2469
Pt  0.7500  0.9378  0.2469

- V: 180.8 Å³/cell
- Total moment: 1.13 μB per cell
- ΔH_f (0 K): -0.37 eV per atom
- Calculated total energy: -80.22 eV for the cell shown
- DOS(E_F): 4.860 states/eV/f.u.
- Crystal system: orthorhombic
- Space group: Pmmn (59)